# FeRhCl2 (meta-GGA SCAN, PBEsol geometry)
# Magnetic moment ... 1.073 μB/atom
# Raw total energy ... -16.7818 eV/atom
# Crystal system ... tetragonal
# V ... 61.6 Å³/f.u.
data_FeRhCl2
_chemical_formula_sum 'Fe2 Rh2 Cl4'
_cell_length_a 3.445
_cell_length_b 3.445
_cell_length_c 10.377
_cell_angle_alpha 90.00
_cell_angle_beta 90.00
_cell_angle_gamma 90.00
_space_group_name_H-M_alt 'I -4 m 2'
_space_group_IT_number 119
_space_group_name_Hall 'I -4 -2'
loop_
_atom_site_label
_atom_site_type_symbol
_atom_site_fract_x
_atom_site_fract_y
_atom_site_fract_z
Fe1 Fe 0.000 0.000 0.000
Rh1 Rh 0.000 0.500 0.250
Cl1 Cl 0.000 0.000 0.500
Cl2 Cl 0.000 0.500 0.750

---

# FeRhCl3 (meta-GGA SCAN, PBEsol geometry)
# Magnetic moment ... 1.200 μB/atom
# Raw total energy ... -15.1114 eV/atom
# Crystal system ... cubic
# V ... 98.0 Å³/f.u.
data_FeRhCl3
_chemical_formula_sum 'Fe1 Rh1 Cl3'
_cell_length_a 4.610
_cell_length_b 4.610
_cell_length_c 4.610
_cell_angle_alpha 90.00
_cell_angle_beta 90.00
_cell_angle_gamma 90.00
_space_group_name_H-M_alt 'P m -3 m'
_space_group_IT_number 221
_space_group_name_Hall '-P 4 2 3'
loop_
_atom_site_label
_atom_site_type_symbol
_atom_site_fract_x
_atom_site_fract_y
_atom_site_fract_z
Fe1 Fe 0.000 0.000 0.000
Rh1 Rh 0.500 0.500 0.500
Cl1 Cl 0.000 0.000 0.500